Material: Rb4PmBr6
Method: DFT, PBE-GGA
State: optimized geometry

abc: 9.609 9.609 9.860
angles: 90.00 90.00 90.00
Last column: magnetic moment on the atom in μB.
Element x y z (fractional)
Rb1 0.328 0.172 0.250  0.00
Rb2 0.828 0.328 0.750  0.00
Rb3 0.672 0.828 0.250  0.00
Rb4 0.672 0.828 0.750  0.00
Rb5 0.172 0.672 0.250  0.00
Rb6 0.172 0.672 0.750  0.00
Rb7 0.828 0.328 0.250  0.00
Rb8 0.328 0.172 0.750  0.00
Br1 0.000 0.000 0.206  0.00
Br2 0.201 0.405 0.000  0.00
Br3 0.299 0.905 0.500  0.00
Br4 0.405 0.799 0.000  0.00
Br5 0.701 0.095 0.500  0.00
Br6 0.000 0.000 0.794  0.00
Br7 0.500 0.500 0.706  0.00
Br8 0.595 0.201 0.000  0.00
Br9 0.905 0.701 0.500  0.00
Br10 0.500 0.500 0.294  0.00
Br11 0.095 0.299 0.500  0.00
Br12 0.799 0.595 0.000  0.00
Pm1 0.500 0.500 0.000  0.44
Pm2 0.000 0.000 0.500  0.44

SG   P4/mnc
M_tot   1.73 μB/cell
E_form (uncorrected)   -1.6502 eV/atom
Volume   41.38 Å³ per atom
Mass density   3.525 Mg/m³